Entry 1:
First-principles (GGA-PBE) data for a relaxed structure of LiMg2W, as listed in Alexandria.

Lattice parameters (Å, degrees): 2.7228 4.4267 5.9991 90.00 90.00 90.00
Positions (direct):
1 Li 0.5000 0.5000 0.7500
2 Mg 0.0000 0.0000 0.0116
3 Mg 0.0000 0.0000 0.4884
4 W 0.5000 0.5000 0.2500

As for the energy relative to the elements: 0.445 eV/atom. The calculation puts the energy above the lowest structure with this stoichiometry at 0.215 eV per atom. As for the space group: Pmmm, No. 47. As for the spin magnetization: 0.00 μB/f.u.


Entry 2:
First-principles (GGA-PBE) data for a relaxed structure of Li2MgW, as listed in Alexandria.

Lattice parameters (Å, degrees): 2.6769 2.6769 9.5720 90.00 90.00 90.00
Positions (direct):
1 Li 0.0000 0.0000 0.9852
2 Li 0.0000 0.0000 0.5148
3 Mg 0.5000 0.5000 0.2500
4 W 0.5000 0.5000 0.7500

As for the energy relative to the elements: 0.385 eV/atom. As for the space group: P4/mmm, No. 123. As for the spin magnetization: 0.00 μB/f.u.


Entry 3:
First-principles (GGA-PBE) data for a relaxed structure of Li2MgW, as listed in Alexandria.

Lattice parameters (Å, degrees): 5.6489 5.6489 5.6489 153.04 128.12 59.43
Positions (direct):
1 Li 0.0184 0.0184 0.0000
2 Li 0.2421 0.7421 0.5000
3 Mg 0.4855 0.4855 0.0000
4 W 0.7540 0.2540 0.5000

As for the energy relative to the elements: 0.545 eV/atom. As for the space group: Imm2, No. 44. As for the spin magnetization: 0.00 μB/f.u.


Entry 4:
First-principles (GGA-PBE) data for a relaxed structure of LiMgW2, as listed in Alexandria.

Lattice parameters (Å, degrees): 2.6607 4.6866 5.2422 90.00 90.00 90.00
Positions (direct):
1 Li 0.5000 0.5000 0.2500
2 Mg 0.5000 0.5000 0.7500
3 W 0.0000 0.0000 0.0002
4 W 0.0000 0.0000 0.4998

As for the energy relative to the elements: 0.535 eV/atom. As for the space group: Pmmm, No. 47. As for the spin magnetization: 0.00 μB/f.u.


Entry 5:
First-principles (GGA-PBE) data for a relaxed structure of LiMgW2, as listed in Alexandria.

Lattice parameters (Å, degrees): 4.9034 2.7093 4.9830 81.50 90.00 90.00
Positions (direct):
1 Li 0.5000 0.2500 0.2500
2 Mg 0.5000 0.7500 0.7500
3 W 0.0000 0.0182 0.0014
4 W 0.0000 0.4818 0.4986

As for the energy relative to the elements: 0.462 eV/atom. As for the space group: P2/m, No. 10. As for the spin magnetization: 0.00 μB/f.u.


Entry 6:
First-principles (GGA-PBE) data for a relaxed structure of LiMgW2, as listed in Alexandria.

Lattice parameters (Å, degrees): 3.6988 3.6988 10.5084 79.86 79.86 90.00
Positions (direct):
1 Mg 0.0000 0.0000 0.0000
2 Mg 0.7500 0.2500 0.5000
3 W 0.6250 0.1250 0.2500
4 W 0.1250 0.6250 0.2500
5 W 0.3750 0.3750 0.7500
6 W 0.8750 0.8750 0.7500
7 Li 0.5000 0.5000 0.0000
8 Li 0.2500 0.7500 0.5000

As for the energy relative to the elements: 0.817 eV/atom. As for the space group: I-42d, No. 122. As for the spin magnetization: 0.00 μB/f.u.


Entry 7:
First-principles (GGA-PBE) data for a relaxed structure of LiMgW2, as listed in Alexandria.

Lattice parameters (Å, degrees): 5.5712 4.9788 2.7179 80.93 80.01 114.10
Positions (direct):
1 Li 0.5000 0.5000 0.0000
2 Mg 0.5000 0.0000 0.5000
3 W 0.0000 0.0000 0.0000
4 W 0.0000 0.5000 0.5000

As for the energy relative to the elements: 0.469 eV/atom. As for the space group: C2/m, No. 12. As for the spin magnetization: 0.00 μB/f.u.


Entry 8:
First-principles (GGA-PBE) data for a relaxed structure of LiMg2W, as listed in Alexandria.

Lattice parameters (Å, degrees): 5.6191 5.6191 5.2843 66.77 66.77 28.03
Positions (direct):
1 Li 0.2473 0.2473 0.1547
2 Mg 0.0005 0.0005 0.0975
3 Mg 0.7540 0.7540 0.6469
4 W 0.4983 0.4983 0.6009

As for the energy relative to the elements: 0.408 eV/atom. The calculation puts the energy above the lowest structure with this stoichiometry at 0.178 eV per atom. As for the space group: Cm, No. 8. As for the spin magnetization: 0.00 μB/f.u.


Entry 9:
First-principles (GGA-PBE) data for a relaxed structure of Li2MgW, as listed in Alexandria.

Lattice parameters (Å, degrees): 4.8540 4.8540 2.6753 90.00 90.00 90.00
Positions (direct):
1 Li 0.0000 0.0000 0.0000
2 Li 0.5000 0.5000 0.0000
3 Mg 0.5000 0.0000 0.5000
4 W 0.0000 0.5000 0.5000

As for the energy relative to the elements: 0.629 eV/atom. As for the space group: P4/mmm, No. 123. As for the spin magnetization: 0.00 μB/f.u.


Entry 10:
First-principles (GGA-PBE) data for a relaxed structure of LiMg2W, as listed in Alexandria.

Lattice parameters (Å, degrees): 2.7910 2.7910 9.9342 90.00 90.00 111.17
Positions (direct):
1 Li 0.5000 0.5000 0.7386
2 Mg 0.0000 0.0000 0.9939
3 Mg 0.5000 0.5000 0.2640
4 W 0.0000 0.0000 0.5035

As for the energy relative to the elements: 0.319 eV/atom. The calculation puts the energy above the lowest structure with this stoichiometry at 0.089 eV per atom. As for the space group: Cmm2, No. 35. As for the spin magnetization: 0.00 μB/f.u.


Entry 11:
First-principles (GGA-PBE) data for a relaxed structure of LiMgW4, as listed in Alexandria.

Lattice parameters (Å, degrees): 5.3470 5.3470 5.3470 60.00 60.00 60.00
Positions (direct):
1 Li 0.7500 0.7500 0.7500
2 Mg 0.0000 0.0000 0.0000
3 W 0.8738 0.3754 0.3754
4 W 0.3754 0.3754 0.8738
5 W 0.3754 0.8738 0.3754
6 W 0.3754 0.3754 0.3754

As for the energy relative to the elements: 0.652 eV/atom. As for the space group: F-43m, No. 216. As for the spin magnetization: 0.00 μB/f.u.


Entry 12:
First-principles (GGA-PBE) data for a relaxed structure of LiMgW2, as listed in Alexandria.

Lattice parameters (Å, degrees): 4.4072 2.6654 5.7188 81.46 90.00 90.00
Positions (direct):
1 Li 0.0000 0.4927 0.5029
2 Mg 0.5000 0.7126 0.7353
3 W 0.0000 0.0163 0.0281
4 W 0.5000 0.2784 0.2338

As for the energy relative to the elements: 0.373 eV/atom. As for the space group: Pm, No. 6. As for the spin magnetization: 0.00 μB/f.u.


Entry 13:
First-principles (GGA-PBE) data for a relaxed structure of Li2MgW, as listed in Alexandria.

Lattice parameters (Å, degrees): 5.9456 5.9456 5.9456 154.63 129.05 57.75
Positions (direct):
1 Li 0.9988 0.9988 0.0000
2 Li 0.5012 0.5012 0.0000
3 Mg 0.2500 0.7500 0.5000
4 W 0.7500 0.2500 0.5000

As for the energy relative to the elements: 0.521 eV/atom. As for the space group: Immm, No. 71. As for the spin magnetization: 0.00 μB/f.u.


Entry 14:
First-principles (GGA-PBE) data for a relaxed structure of LiMg3W, as listed in Alexandria.

Lattice parameters (Å, degrees): 4.5220 4.5220 4.5220 90.00 90.00 90.00
Site moments in Bohr magnetons follow the coordinates.
Positions (direct):
1 Mg 0.0000 0.5000 0.0000  -0.01
2 Mg 0.0000 0.0000 0.5000  -0.01
3 Mg 0.5000 0.0000 0.0000  -0.01
4 W 0.5000 0.5000 0.5000  0.82
5 Li 0.0000 0.0000 0.0000  -0.03

As for the energy relative to the elements: 1.065 eV/atom. The calculation puts the energy above the lowest structure with this stoichiometry at 0.000 eV per atom. As for the space group: Pm-3m, No. 221. As for the spin magnetization: 0.92 μB/f.u.


Entry 15:
First-principles (GGA-PBE) data for a relaxed structure of LiMgW2, as listed in Alexandria.

Lattice parameters (Å, degrees): 3.2843 3.2843 6.4154 90.00 90.00 90.00
Positions (direct):
1 Li 0.0000 0.0000 0.4920
2 Mg 0.5000 0.5000 0.7423
3 W 0.0000 0.0000 0.0411
4 W 0.5000 0.5000 0.2247

As for the energy relative to the elements: 0.419 eV/atom. As for the space group: P4mm, No. 99. As for the spin magnetization: 0.00 μB/f.u.


Entry 16:
First-principles (GGA-PBE) data for a relaxed structure of LiMgW2, as listed in Alexandria.

Lattice parameters (Å, degrees): 10.0750 10.0750 10.0750 15.89 15.89 15.89
Positions (direct):
1 Li 0.2500 0.2500 0.2500
2 Mg 0.7500 0.7500 0.7500
3 W 0.0004 0.0004 0.0004
4 W 0.4996 0.4996 0.4996

As for the energy relative to the elements: 0.563 eV/atom. As for the space group: R-3m, No. 166. As for the spin magnetization: 0.00 μB/f.u.


Entry 17:
First-principles (GGA-PBE) data for a relaxed structure of Li2MgZnW, as listed in Alexandria.

Lattice parameters (Å, degrees): 4.3567 4.3567 4.9844 90.00 90.00 90.00
Site moments in Bohr magnetons follow the coordinates.
Positions (direct):
1 Zn 0.5000 0.5000 0.5000  0.01
2 Mg 0.0000 0.0000 0.0000  0.00
3 W 0.0000 0.0000 0.5000  0.34
4 Li 0.0000 0.5000 0.0000  -0.01
5 Li 0.5000 0.0000 0.0000  -0.01

As for the energy relative to the elements: 1.285 eV/atom. As for the space group: P4/mmm, No. 123. As for the spin magnetization: 0.42 μB/f.u.


Entry 18:
First-principles (GGA-PBE) data for a relaxed structure of Li2YMg3, as listed in Alexandria.

Lattice parameters (Å, degrees): 4.9997 4.9997 13.0382 90.00 90.00 120.00
Positions (direct):
1 Li 0.6667 0.3333 0.3868
2 Li 0.3333 0.6667 0.6132
3 Li 0.3333 0.6667 0.8868
4 Li 0.6667 0.3333 0.1132
5 Y 0.0000 0.0000 0.2500
6 Y 0.0000 0.0000 0.7500
7 Mg 0.0000 0.0000 0.5000
8 Mg 0.0000 0.0000 0.0000
9 Mg 0.6667 0.3333 0.6196
10 Mg 0.3333 0.6667 0.1196
11 Mg 0.6667 0.3333 0.8804
12 Mg 0.3333 0.6667 0.3804

As for the energy relative to the elements: -0.004 eV/atom. The calculation puts the energy above the lowest structure with this stoichiometry at 0.056 eV per atom. As for the space group: P6_3/mmc, No. 194. As for the spin magnetization: 0.00 μB/f.u.


Entry 19:
First-principles (GGA-PBE) data for a relaxed structure of LiYMg4, as listed in Alexandria.

Lattice parameters (Å, degrees): 3.7544 8.2547 9.4171 90.00 101.50 90.00
Positions (direct):
1 Li 0.2472 0.7500 0.4943
2 Li 0.7528 0.2500 0.5057
3 Y 0.1070 0.2500 0.2140
4 Y 0.8930 0.7500 0.7860
5 Mg 0.5000 0.5000 0.0000
6 Mg 0.5000 0.0000 0.0000
7 Mg 0.6783 0.9536 0.3566
8 Mg 0.3217 0.0464 0.6434
9 Mg 0.3217 0.4536 0.6434
10 Mg 0.6783 0.5464 0.3566
11 Mg 0.0779 0.7500 0.1558
12 Mg 0.9221 0.2500 0.8442

As for the energy relative to the elements: -0.009 eV/atom. The calculation puts the energy above the lowest structure with this stoichiometry at 0.057 eV per atom. As for the space group: Cmcm, No. 63. As for the spin magnetization: 0.00 μB/f.u.


Entry 20:
First-principles (GGA-PBE) data for a relaxed structure of LiYMg2, as listed in Alexandria.

Lattice parameters (Å, degrees): 3.6437 3.6437 7.3323 90.00 90.00 90.00
Site moments in Bohr magnetons follow the coordinates.
Positions (direct):
1 Y 0.0000 0.0000 0.5065  0.12
2 Mg 0.0000 0.0000 0.9844  0.00
3 Mg 0.5000 0.5000 0.2305  0.00
4 Li 0.5000 0.5000 0.7786  0.00

As for the energy relative to the elements: 0.004 eV/atom. The calculation puts the energy above the lowest structure with this stoichiometry at 0.062 eV per atom. As for the space group: P4mm, No. 99. As for the spin magnetization: 0.28 μB/f.u.


Entry 21:
First-principles (GGA-PBE) data for a relaxed structure of Li2YMg4, as listed in Alexandria.

Lattice parameters (Å, degrees): 6.1131 6.1131 5.5669 62.29 62.29 77.78
Positions (direct):
1 Li 0.5018 0.5018 0.7472
2 Li 0.4982 0.4982 0.2528
3 Y 0.0000 0.0000 0.0000
4 Mg 0.6096 0.9989 0.6954
5 Mg 0.3904 0.0011 0.3046
6 Mg 0.0011 0.3904 0.3046
7 Mg 0.9989 0.6096 0.6954

As for the energy relative to the elements: -0.030 eV/atom. As for the space group: C2/m, No. 12. As for the spin magnetization: 0.00 μB/f.u.


Entry 22:
First-principles (GGA-PBE) data for a relaxed structure of LiYMg3, as listed in Alexandria.

Lattice parameters (Å, degrees): 4.9026 4.9026 4.9026 90.00 90.00 90.00
Positions (direct):
1 Y 0.5000 0.5000 0.5000
2 Mg 0.0000 0.5000 0.0000
3 Mg 0.0000 0.0000 0.5000
4 Mg 0.5000 0.0000 0.0000
5 Li 0.0000 0.0000 0.0000

As for the energy relative to the elements: 0.111 eV/atom. The calculation puts the energy above the lowest structure with this stoichiometry at 0.134 eV per atom. As for the space group: Pm-3m, No. 221. As for the spin magnetization: 0.00 μB/f.u.


Entry 23:
First-principles (GGA-PBE) data for a relaxed structure of LiYMg6, as listed in Alexandria.

Lattice parameters (Å, degrees): 6.7061 6.7061 5.1270 90.00 90.00 123.43
Positions (direct):
1 Li 0.3446 0.6554 0.5000
2 Y 0.8192 0.1808 0.5000
3 Mg 0.8224 0.6774 0.5000
4 Mg 0.3226 0.1776 0.5000
5 Mg 0.6739 0.8265 0.0000
6 Mg 0.1735 0.3261 0.0000
7 Mg 0.6582 0.3418 0.0000
8 Mg 0.1856 0.8144 0.0000

As for the energy relative to the elements: 0.006 eV/atom. The calculation puts the energy above the lowest structure with this stoichiometry at 0.051 eV per atom. As for the space group: Amm2, No. 38. As for the spin magnetization: 0.00 μB/f.u.


Entry 24:
First-principles (GGA-PBE) data for a relaxed structure of LiYMg11, as listed in Alexandria.

Lattice parameters (Å, degrees): 5.8665 7.7487 7.7610 82.03 67.79 68.49
Positions (direct):
1 Li 0.5000 0.5000 0.0000
2 Y 0.0000 0.0000 0.0000
3 Mg 0.2967 0.2140 0.2092
4 Mg 0.7033 0.7860 0.7908
5 Mg 0.4941 0.7860 0.2092
6 Mg 0.5059 0.2140 0.7908
7 Mg 0.3505 0.6481 0.6524
8 Mg 0.6495 0.3519 0.3476
9 Mg 0.9972 0.3519 0.6524
10 Mg 0.0028 0.6481 0.3476
11 Mg 0.0000 0.5000 0.0000
12 Mg 0.5000 0.0000 0.5000
13 Mg 0.0000 0.0000 0.5000

As for the energy relative to the elements: -0.027 eV/atom. As for the space group: C2/m, No. 12. As for the spin magnetization: 0.00 μB/f.u.


Entry 25:
First-principles (GGA-PBE) data for a relaxed structure of LiY6Mg, as listed in Alexandria.

Lattice parameters (Å, degrees): 8.7972 8.8519 6.2322 44.84 45.22 59.79
Positions (direct):
1 Li 0.0000 0.0000 0.0000
2 Y 0.9786 0.4892 0.7839
3 Y 0.7483 0.9794 0.7875
4 Y 0.5177 0.2516 0.2139
5 Y 0.2517 0.0206 0.2125
6 Y 0.0214 0.5108 0.2161
7 Y 0.4823 0.7484 0.7861
8 Mg 0.5000 0.5000 0.5000

As for the energy relative to the elements: 0.137 eV/atom. As for the space group: P-1, No. 2. As for the spin magnetization: 0.00 μB/f.u.


Entry 26:
First-principles (GGA-PBE) data for a relaxed structure of Li5Y2Mg12, as listed in Alexandria.

Lattice parameters (Å, degrees): 7.6496 7.6496 7.6496 82.37 82.37 82.37
Positions (direct):
1 Li 0.0000 0.0000 0.5000
2 Li 0.0000 0.5000 0.0000
3 Li 0.5000 0.0000 0.0000
4 Li 0.9024 0.9024 0.9024
5 Li 0.0976 0.0976 0.0976
6 Y 0.6548 0.6548 0.6548
7 Y 0.3452 0.3452 0.3452
8 Mg 0.3043 0.6957 0.0000
9 Mg 0.6957 0.0000 0.3043
10 Mg 0.0000 0.3043 0.6957
11 Mg 0.6957 0.3043 0.0000
12 Mg 0.3043 0.0000 0.6957
13 Mg 0.0000 0.6957 0.3043
14 Mg 0.3443 0.3443 0.8524
15 Mg 0.3443 0.8524 0.3443
16 Mg 0.8524 0.3443 0.3443
17 Mg 0.6557 0.1476 0.6557
18 Mg 0.6557 0.6557 0.1476
19 Mg 0.1476 0.6557 0.6557

As for the energy relative to the elements: -0.022 eV/atom. As for the space group: R-3m, No. 166. As for the spin magnetization: 0.00 μB/f.u.


Entry 27:
First-principles (GGA-PBE) data for a relaxed structure of LiYMg, as listed in Alexandria.

Lattice parameters (Å, degrees): 6.3306 6.3306 6.3306 147.04 147.06 47.29
Site moments in Bohr magnetons follow the coordinates.
Positions (direct):
1 Li 0.9798 0.9798 0.0000  0.01
2 Mg 0.3542 0.3542 0.0000  0.00
3 Y 0.6660 0.6660 0.0000  0.17

As for the energy relative to the elements: 0.028 eV/atom. The calculation puts the energy above the lowest structure with this stoichiometry at 0.066 eV per atom. As for the space group: I4mm, No. 107. As for the spin magnetization: 0.36 μB/f.u.